Below is an optimized crystal structure of FeAuI3, with properties calculated at the GGA-PBE level.

Calculated values
For the uncorrected formation energy, the calculation gives 319 kJ/mol of formula units. The energy relative to the lowest polymorph listed for this composition comes out at 0 meV/atom.

Cell lengths 5.252, 5.252, 5.252 Å; angles 90.00, 90.00, 90.00 degrees
Fractional coordinates of all 5 atoms:
1 Au 0.500 0.500 0.500
2 Fe 0.000 0.000 0.000
3 I 0.000 0.500 0.000
4 I 0.000 0.000 0.500
5 I 0.500 0.000 0.000

=====

Below is an optimized crystal structure of TlFeIrPt2, with properties calculated at the GGA-PBE level.

Calculated values
Its calculated formation energy is 0.95 eV per atom.

Cell lengths 4.952, 4.654, 4.952 Å; angles 90.00, 90.00, 90.00 degrees
Each line ends with the local moment (μB).
Fractional coordinates of all 5 atoms:
1 Ir 0.000 0.000 0.000  0.31
2 Fe 0.000 0.500 0.000  3.23
3 Pt 0.500 0.000 0.000  0.07
4 Pt 0.000 0.000 0.500  0.01
5 Tl 0.500 0.500 0.500  0.01

=====

Below is an optimized crystal structure of Al2CrRu, with properties calculated at the GGA-PBE level.

Calculated values
Its calculated formation energy is -0.14 eV per atom.

Cell lengths 5.026, 4.831, 2.728 Å; angles 79.11, 79.51, 117.98 degrees
Fractional coordinates of all 4 atoms:
1 Ru 0.500 0.500 0.000
2 Al 0.000 0.000 0.000
3 Cr 0.000 0.500 0.500
4 Al 0.500 0.000 0.500

=====

Below is an optimized crystal structure of Fe2AsOs, with properties calculated at the GGA-PBE level.

Calculated values
Its calculated formation energy is 0.22 eV per atom.

Cell lengths 4.551, 4.551, 2.798 Å; angles 90.00, 90.00, 114.27 degrees
Each line ends with the local moment (μB).
Fractional coordinates of all 4 atoms:
1 Os 0.500 0.000 0.500  0.06
2 As 0.000 0.500 0.500  -0.04
3 Fe 0.000 0.000 0.000  2.16
4 Fe 0.500 0.500 0.000  2.16

=====

Below is an optimized crystal structure of V2CuOsS, with properties calculated at the GGA-PBE level.

Calculated values
For the uncorrected formation energy, the calculation gives 516 kJ/mol of formula units.

Cell lengths 4.875, 4.320, 4.875 Å; angles 90.00, 90.00, 90.00 degrees
Each line ends with the local moment (μB).
Fractional coordinates of all 5 atoms:
1 Os 0.000 0.000 0.000  -0.32
2 V 0.000 0.000 0.500  1.94
3 Cu 0.500 0.500 0.500  0.01
4 S 0.000 0.500 0.000  0.03
5 V 0.500 0.000 0.000  2.76

=====

Below is an optimized crystal structure of La4GaAsI2, with properties calculated at the GGA-PBE level.

Calculated values
For the uncorrected formation energy, the calculation gives -868 kJ/mol of formula units.

Cell lengths 4.481, 7.683, 8.167 Å; angles 108.70, 90.00, 90.00 degrees
Fractional coordinates of all 8 atoms:
1 La 0.000 0.265 0.795
2 I 0.500 0.000 0.500
3 La 0.000 0.735 0.205
4 Ga 0.000 0.000 0.000
5 I 0.000 0.500 0.500
6 La 0.500 0.765 0.793
7 As 0.500 0.500 0.000
8 La 0.500 0.235 0.207

=====

Below is an optimized crystal structure of TcSnHgO6, with properties calculated at the GGA-PBE level.

Calculated values
For the uncorrected formation energy, the calculation gives -926 kJ/mol of formula units.

Cell lengths 5.404, 5.404, 9.726 Å; angles 90.00, 90.00, 120.00 degrees
Each line ends with the local moment (μB).
Fractional coordinates of all 18 atoms:
1 O 0.365 0.387 0.362  0.00
2 O 0.387 0.365 0.862  0.00
3 Sn 0.333 0.667 0.750  0.01
4 Tc 0.667 0.333 0.750  0.15
5 Hg 0.000 0.000 0.500  0.01
6 O 0.978 0.365 0.638  0.00
7 Sn 0.667 0.333 0.250  0.01
8 O 0.613 0.635 0.138  0.00
9 O 0.635 0.022 0.862  0.00
10 O 0.978 0.613 0.862  0.00
11 O 0.387 0.022 0.638  0.00
12 O 0.613 0.978 0.362  0.00
13 O 0.022 0.387 0.138  0.00
14 O 0.022 0.635 0.362  0.00
15 Hg 0.000 0.000 0.000  0.01
16 Tc 0.333 0.667 0.250  0.15
17 O 0.365 0.978 0.138  0.00
18 O 0.635 0.613 0.638  0.00

=====

Below is an optimized crystal structure of RbZr2RhF, with properties calculated at the GGA-PBE level.

Calculated values
For the uncorrected formation energy, the calculation gives 107 kJ/mol of formula units.

Cell lengths 4.490, 5.499, 4.490 Å; angles 90.00, 90.00, 90.00 degrees
Fractional coordinates of all 5 atoms:
1 Rb 0.500 0.500 0.500
2 Zr 0.000 0.000 0.500
3 Rh 0.000 0.500 0.000
4 F 0.000 0.000 0.000
5 Zr 0.500 0.000 0.000

=====

Below is an optimized crystal structure of Ce2Pu2BIr4, with properties calculated at the GGA-PBE level.

Calculated values
Its calculated formation energy is -0.45 eV per atom.

Cell lengths 6.256, 6.256, 6.256 Å; angles 87.61, 121.39, 121.39 degrees
Each line ends with the local moment (μB).
Fractional coordinates of all 9 atoms:
1 Ir 0.000 0.243 0.757  -0.08
2 Ir 0.486 0.243 0.243  -0.08
3 Pu 0.000 0.300 0.300  5.16
4 Ce 0.500 0.250 0.750  0.74
5 Ir 0.514 0.757 0.757  -0.08
6 Ir 0.000 0.757 0.243  -0.08
7 B 0.000 0.000 0.000  0.06
8 Pu 0.000 0.700 0.700  5.16
9 Ce 0.500 0.750 0.250  0.74

=====

Below is an optimized crystal structure of ZnRuW2, with properties calculated at the GGA-PBE level.

Calculated values
Its calculated formation energy is 0.19 eV per atom.

Cell lengths 3.208, 3.208, 5.874 Å; angles 90.00, 90.00, 90.00 degrees
Fractional coordinates of all 4 atoms:
1 W 0.500 0.500 0.253
2 Zn 0.000 0.000 0.507
3 Ru 0.500 0.500 0.737
4 W 0.000 0.000 0.003

=====

Below is an optimized crystal structure of Al4PCl, with properties calculated at the GGA-PBE level.

Calculated values
For the uncorrected formation energy, the calculation gives 190 kJ/mol of formula units.

Cell lengths 5.452, 5.452, 5.452 Å; angles 60.00, 60.00, 60.00 degrees
Fractional coordinates of all 6 atoms:
1 Al 0.626 0.123 0.626
2 Al 0.626 0.626 0.626
3 Al 0.123 0.626 0.626
4 P 0.000 0.000 0.000
5 Cl 0.250 0.250 0.250
6 Al 0.626 0.626 0.123

=====

Below is an optimized crystal structure of Sn4HgPb5, with properties calculated at the GGA-PBE level.

Calculated values
Its calculated formation energy is 0.03 eV per atom.

Cell lengths 3.497, 3.497, 23.962 Å; angles 90.00, 90.00, 90.00 degrees
Fractional coordinates of all 10 atoms:
1 Pb 0.500 0.500 0.702
2 Hg 0.000 0.000 0.000
3 Sn 0.000 0.000 0.804
4 Pb 0.500 0.500 0.096
5 Pb 0.500 0.500 0.904
6 Sn 0.000 0.000 0.399
7 Pb 0.500 0.500 0.298
8 Pb 0.500 0.500 0.500
9 Sn 0.000 0.000 0.196
10 Sn 0.000 0.000 0.601

=====

Number 1: magnetization 0.01 μB/f.u., calculated total energy -13.09 eV for the cell shown. Number 2: magnetization 3.79 μB/f.u., calculated total energy -27.04 eV for the cell shown. Number 3: magnetization 0.00 μB/f.u., calculated total energy -26.94 eV for the cell shown. Number 4: magnetization 4.33 μB/f.u., calculated total energy -31.94 eV for the cell shown. Number 5: magnetization 5.34 μB/f.u., calculated total energy -32.35 eV for the cell shown. Number 6: magnetization 0.00 μB/f.u., calculated total energy -39.48 eV for the cell shown. Number 7: magnetization 0.20 μB/f.u., calculated total energy -108.03 eV for the cell shown. Number 8: magnetization 0.00 μB/f.u., calculated total energy -26.18 eV for the cell shown. Number 9: magnetization 12.31 μB/f.u., calculated total energy -86.72 eV for the cell shown. Number 10: magnetization 0.00 μB/f.u., calculated total energy -35.68 eV for the cell shown. Number 11: magnetization 0.00 μB/f.u., calculated total energy -20.26 eV for the cell shown. Number 12: magnetization 0.00 μB/f.u., calculated total energy -34.55 eV for the cell shown.